Material: TeW
Method: DFT, GGA-PBE
State: relaxed

The structure belongs to space group I4/m (No. 87); the cell edges are 11.782, 11.782 and 3.516 Å and the angles 90.00°, 90.00° and 90.00°. The asymmetric unit holds Te at (0.060, 0.711, 0.000) and W at (0.173, 0.269, 0.000).

As for the offset from the most stable computed form: 423 meV per atom. The value obtained for the uncorrected formation energy is 0.65 eV per atom. The value obtained for the density of states at the Fermi level is 10.09 states/eV per cell.

***

Material: TeW
Method: DFT, GGA-PBE
State: relaxed

The structure belongs to space group Pmmn (No. 59, origin choice 2); the cell edges are 3.282, 16.118 and 4.610 Å and the angles 90.00°, 90.00° and 90.00°. The asymmetric unit holds Te at (0.250, 0.064, 0.242), Te at (0.250, 0.750, 0.617), W at (0.250, 0.250, 0.898) and W at (0.250, 0.618, 0.255).

As for the offset from the most stable computed form: 381 meV per atom. The value obtained for the uncorrected formation energy is 0.61 eV per atom. The value obtained for the density of states at the Fermi level is 10.14 states/eV per cell.

***

Material: TeW
Method: DFT, GGA-PBE
State: relaxed

The structure belongs to space group Pm-3m (No. 221); the cell edges are 3.337, 3.337 and 3.337 Å and the angles 90.00°, 90.00° and 90.00°. The asymmetric unit holds Te at (0.000, 0.000, 0.000) and W at (0.500, 0.500, 0.500).

As for the offset from the most stable computed form: 539 meV per atom. The value obtained for the uncorrected formation energy is 0.76 eV per atom. The value obtained for the density of states at the Fermi level is 2.25 states/eV per cell.

***

Material: TeW5
Method: DFT, GGA-PBE
State: relaxed

The structure belongs to space group P6/mmm (No. 191); the cell edges are 5.3028, 5.3028 and 4.6583 Å and the angles 90.00°, 90.00° and 120.00°. The asymmetric unit holds Te at (0.0000, 0.0000, 0.0000), W at (0.0000, 0.5000, 0.5000) and W at (0.3333, 0.6667, 0.0000).

As for the offset from the most stable computed form: 399 meV per atom. The value obtained for the uncorrected formation energy is 0.82 eV per atom. The value obtained for the density of states at the Fermi level is 3.54 states/eV per cell.